Entry 1:
# InSnI4

A relaxed InSnI4 crystal (PBE, the Alexandria database).

```
data_InSnI4
_symmetry_space_group_name_H-M 'C m m m'
_symmetry_Int_Tables_number 65
_symmetry_space_group_name_Hall '-C 2 2'
_cell_length_a 10.701
_cell_length_b 10.788
_cell_length_c 4.534
_cell_angle_alpha 90.00
_cell_angle_beta 90.00
_cell_angle_gamma 90.00
loop_
_atom_site_label
_atom_site_type_symbol
_atom_site_fract_x
_atom_site_fract_y
_atom_site_fract_z
_atom_site_occupancy
In1 In 0.000 0.000 0.000 1
Sn1 Sn 0.000 0.500 0.500 1
I1 I 0.000 0.293 0.000 1
I2 I 0.205 0.000 0.500 1
```

Output
D(E_F): 2.96 states/eV/f.u.
Calculated volume: 43.6 Å³/atom
Magnetic moment: 0.00 μB/f.u.
Uncorrected formation energy: -0.422 eV/atom



Entry 2:
# InSnI2

A relaxed InSnI2 crystal (PBE, the Alexandria database).

```
data_InSnI2
_symmetry_space_group_name_H-M 'R -3 m'
_symmetry_Int_Tables_number 166
_symmetry_space_group_name_Hall '-R 3 2"'
_cell_length_a 4.1249
_cell_length_b 4.1249
_cell_length_c 32.2261
_cell_angle_alpha 90.00
_cell_angle_beta 90.00
_cell_angle_gamma 120.00
loop_
_atom_site_label
_atom_site_type_symbol
_atom_site_fract_x
_atom_site_fract_y
_atom_site_fract_z
_atom_site_occupancy
In1 In 0.0000 0.0000 0.0000 1
Sn1 Sn 0.0000 0.0000 0.5000 1
I1 I 0.0000 0.0000 0.4053 1
```

Output
D(E_F): 1.44 states/eV/f.u.
Calculated volume: 39.6 Å³/atom
Magnetic moment: 0.00 μB/f.u.
Uncorrected formation energy: -0.137 eV/atom



Entry 3:
# InSnTe2I

A relaxed InSnTe2I crystal (PBE, the Alexandria database).

```
data_InSnTe2I
_symmetry_space_group_name_H-M 'P 4/m m m'
_symmetry_Int_Tables_number 123
_symmetry_space_group_name_Hall '-P 4 2'
_cell_length_a 5.738
_cell_length_b 5.738
_cell_length_c 6.175
_cell_angle_alpha 90.00
_cell_angle_beta 90.00
_cell_angle_gamma 90.00
loop_
_atom_site_label
_atom_site_type_symbol
_atom_site_fract_x
_atom_site_fract_y
_atom_site_fract_z
_atom_site_occupancy
In1 In 0.000 0.000 0.000 1
Sn1 Sn 0.500 0.500 0.500 1
Te1 Te 0.000 0.500 0.500 1
I1 I 0.500 0.500 0.000 1
```

Output
D(E_F): 3.19 states/eV/f.u.
Calculated volume: 40.7 Å³/atom
Magnetic moment: 0.00 μB/f.u.
Uncorrected formation energy: 0.052 eV/atom



Entry 4:
# TiInSnI6

A relaxed TiInSnI6 crystal (PBE, the Alexandria database).

```
data_TiInSnI6
_symmetry_space_group_name_H-M 'P 3 1 2'
_symmetry_Int_Tables_number 149
_cell_length_a 7.8184
_cell_length_b 7.8184
_cell_length_c 7.3316
_cell_angle_alpha 90.00
_cell_angle_beta 90.00
_cell_angle_gamma 120.00
loop_
_symmetry_equiv_pos_as_xyz
'x,y,z'
'-y,x-y,z'
'-x+y,-x,z'
'-y,-x,-z'
'-x+y,y,-z'
'x,x-y,-z'
loop_
_atom_site_label
_atom_site_type_symbol
_atom_site_fract_x
_atom_site_fract_y
_atom_site_fract_z
_atom_site_occupancy
Ti1 Ti 0.0000 0.0000 0.0000 1
In1 In 0.3333 0.6667 0.5000 1
Sn1 Sn 0.6667 0.3333 0.0000 1
I1 I 0.3009 0.0150 0.2266 1
```

Output
D(E_F): 6.61 states/eV/f.u.
Calculated volume: 43.1 Å³/atom
Magnetic moment: 1.00 μB/f.u.
Uncorrected formation energy: -0.581 eV/atom



Entry 5:
# Tl2InSnI6

A relaxed Tl2InSnI6 crystal (PBE, the Alexandria database).

```
data_Tl2InSnI6
_symmetry_space_group_name_H-M 'P 1 21/c 1'
_symmetry_Int_Tables_number 14
_cell_length_a 8.109
_cell_length_b 8.808
_cell_length_c 14.410
_cell_angle_alpha 90.00
_cell_angle_beta 124.20
_cell_angle_gamma 90.00
loop_
_symmetry_equiv_pos_as_xyz
'x,y,z'
'-x,-y,-z'
'-x,y+1/2,-z+1/2'
'x,-y+1/2,z+1/2'
loop_
_atom_site_label
_atom_site_type_symbol
_atom_site_fract_x
_atom_site_fract_y
_atom_site_fract_z
_atom_site_occupancy
Tl1 Tl 0.208 0.095 0.249 1
In1 In 0.500 0.000 0.000 1
Sn1 Sn 0.000 0.000 0.500 1
I1 I 0.129 0.192 0.943 1
I2 I 0.257 0.693 0.941 1
I3 I 0.373 0.031 0.750 1
```

Output
D(E_F): 4.26 states/eV/f.u.
Calculated volume: 42.6 Å³/atom
Magnetic moment: 0.00 μB/f.u.
Uncorrected formation energy: -0.529 eV/atom



Entry 6:
# Tl2In2SnI6

A relaxed Tl2In2SnI6 crystal (PBE, the Alexandria database).

```
data_Tl2In2SnI6
_symmetry_space_group_name_H-M 'C 1 2/m 1'
_symmetry_Int_Tables_number 12
_cell_length_a 8.732
_cell_length_b 14.311
_cell_length_c 8.529
_cell_angle_alpha 90.00
_cell_angle_beta 108.88
_cell_angle_gamma 90.00
loop_
_symmetry_equiv_pos_as_xyz
'x,y,z'
'-x,-y,-z'
'-x,y,-z'
'x,-y,z'
'x+1/2,y+1/2,z'
'-x+1/2,-y+1/2,-z'
'-x+1/2,y+1/2,-z'
'x+1/2,-y+1/2,z'
loop_
_atom_site_label
_atom_site_type_symbol
_atom_site_fract_x
_atom_site_fract_y
_atom_site_fract_z
_atom_site_occupancy
Tl1 Tl 0.000 0.176 0.000 1
In1 In 0.000 0.337 0.500 1
Sn1 Sn 0.000 0.000 0.500 1
I1 I 0.217 0.000 0.257 1
I2 I 0.231 0.157 0.730 1
```

Output
D(E_F): 0.00 states/eV/f.u.
Calculated volume: 45.8 Å³/atom
Magnetic moment: 0.00 μB/f.u.
Uncorrected formation energy: -0.538 eV/atom



Entry 7:
# TlIn2SnI6

A relaxed TlIn2SnI6 crystal (PBE, the Alexandria database).

```
data_TlIn2SnI6
_symmetry_space_group_name_H-M 'R 3'
_symmetry_Int_Tables_number 146
_symmetry_space_group_name_Hall 'R 3'
_cell_length_a 8.1250
_cell_length_b 8.1250
_cell_length_c 23.6450
_cell_angle_alpha 90.00
_cell_angle_beta 90.00
_cell_angle_gamma 120.00
loop_
_atom_site_label
_atom_site_type_symbol
_atom_site_fract_x
_atom_site_fract_y
_atom_site_fract_z
_atom_site_occupancy
Tl1 Tl 0.0000 0.0000 0.0000 1
In1 In 0.0000 0.0000 0.3076 1
In2 In 0.0000 0.0000 0.8171 1
Sn1 Sn 0.0000 0.0000 0.4895 1
I1 I 0.0078 0.6265 0.0713 1
I2 I 0.0130 0.3451 0.5627 1
```

Output
D(E_F): 4.55 states/eV/f.u.
Calculated volume: 45.1 Å³/atom
Magnetic moment: 0.00 μB/f.u.
Uncorrected formation energy: -0.482 eV/atom



Entry 8:
# TlIn2SnI

A relaxed TlIn2SnI crystal (PBE, the Alexandria database).

```
data_TlIn2SnI
_symmetry_space_group_name_H-M 'P 4/m m m'
_symmetry_Int_Tables_number 123
_symmetry_space_group_name_Hall '-P 4 2'
_cell_length_a 6.229
_cell_length_b 6.229
_cell_length_c 6.002
_cell_angle_alpha 90.00
_cell_angle_beta 90.00
_cell_angle_gamma 90.00
loop_
_atom_site_label
_atom_site_type_symbol
_atom_site_fract_x
_atom_site_fract_y
_atom_site_fract_z
_atom_site_occupancy
Tl1 Tl 0.000 0.000 0.000 1
In1 In 0.000 0.500 0.500 1
Sn1 Sn 0.500 0.500 0.000 1
I1 I 0.500 0.500 0.500 1
```

Output
D(E_F): 4.56 states/eV/f.u.
Calculated volume: 46.6 Å³/atom
Magnetic moment: 0.00 μB/f.u.
Uncorrected formation energy: 0.500 eV/atom



| no. | electronic total energy (eV per atom) |
| --- | --- |
| 1 | -2.58 |
| 2 | -2.60 |
| 3 | -2.86 |
| 4 | -3.24 |
| 5 | -2.61 |
| 6 | -2.68 |
| 7 | -2.60 |
| 8 | -2.18 |